Record 1
This record from the Alexandria database describes a geometry-optimized Ac2SbSe structure. The functional is GGA-PBE.

Results
Density of states at the Fermi level = 0.349 states/eV/atom
ΔE to the lowest computed polymorph = 0 meV/atom
Formation energy (no corrections) = -1.56 eV/atom
Volume = 35.44 Å³/atom

a b c (Å): 6.579 6.579 8.034
angles (deg): 114.17 114.17 90.00
Fractional positions:
Ac  0.753  0.753  0.507
Ac  0.503  0.003  0.007
Ac  0.247  0.247  0.493
Ac  0.997  0.497  0.993
Sb  0.500  0.500  0.000
Sb  0.250  0.750  0.500
Se  0.750  0.250  0.500
Se  0.000  0.000  0.000


Record 2
This record from the Alexandria database describes a geometry-optimized Lu2BeS structure. The functional is GGA-PBE.

Results
Density of states at the Fermi level = 0.733 states/eV/atom
Formation energy (no corrections) = -0.17 eV/atom
Volume = 24.35 Å³/atom

a b c (Å): 3.554 3.554 9.137
angles (deg): 78.78 78.78 60.00
Fractional positions:
Be  0.000  0.000  0.000
S  0.500  0.500  0.500
Lu  0.105  0.105  0.685
Lu  0.895  0.895  0.315


Record 3
This record from the Alexandria database describes a geometry-optimized GdScCdGe structure. The functional is GGA-PBE.

Results
Density of states at the Fermi level = 0.791 states/eV/atom
Energy relative to the elements = -0.450 eV/atom
Volume = 22.59 Å³/atom

a b c (Å): 5.037 5.037 5.037
angles (deg): 60.00 60.00 60.00
Each line ends with the local moment (μB).
Fractional positions:
Sc  0.000  0.000  0.000  0.16
Ge  0.250  0.250  0.250  -0.05
Gd  0.500  0.500  0.500  7.07
Cd  0.750  0.750  0.750  -0.01


Record 4
This record from the Alexandria database describes a geometry-optimized Ac2GdLu structure. The functional is GGA-PBE.

Results
Density of states at the Fermi level = 1.855 states/eV/atom
Energy relative to the elements = 0.089 eV/atom
ΔE to the lowest computed polymorph = 40 meV/atom
Volume = 37.65 Å³/atom

a b c (Å): 5.972 5.972 5.972
angles (deg): 60.00 60.00 60.00
Each line ends with the local moment (μB).
Fractional positions:
Gd  0.500  0.500  0.500  -7.21
Ac  0.250  0.250  0.250  -0.03
Ac  0.750  0.750  0.750  -0.03
Lu  0.000  0.000  0.000  -0.02


Record 5
This record from the Alexandria database describes a geometry-optimized Pm3Sm2Dy3 structure. The functional is GGA-PBE.

Results
Density of states at the Fermi level = 1.452 states/eV/atom
Energy relative to the elements = 0.129 eV/atom
ΔE to the lowest computed polymorph = 112 meV/atom
Volume = 33.75 Å³/atom

a b c (Å): 5.604 6.608 16.104
angles (deg): 90.00 90.00 115.11
Fractional positions:
Pm  0.924  0.848  0.406
Pm  0.076  0.152  0.906
Pm  0.924  0.848  0.094
Pm  0.076  0.152  0.594
Pm  0.734  0.469  0.250
Pm  0.266  0.531  0.750
Sm  0.779  0.557  0.871
Sm  0.221  0.443  0.371
Sm  0.779  0.557  0.629
Sm  0.221  0.443  0.129
Dy  0.619  0.239  0.450
Dy  0.381  0.761  0.950
Dy  0.619  0.239  0.050
Dy  0.381  0.761  0.550
Dy  0.459  0.918  0.250
Dy  0.541  0.082  0.750


Record 6
This record from the Alexandria database describes a geometry-optimized Li5CuTe3 structure. The functional is GGA-PBE.

Results
Density of states at the Fermi level = 0.000 states/eV/atom
Formation energy (no corrections) = -0.84 eV/atom
Volume = 22.16 Å³/atom

a b c (Å): 6.436 7.871 9.092
angles (deg): 106.75 90.00 114.13
Fractional positions:
Li  0.249  0.000  0.750
Li  0.586  0.671  0.917
Li  0.914  0.329  0.081
Li  0.414  0.329  0.083
Li  0.585  0.671  0.419
Li  0.751  0.000  0.250
Li  0.085  0.671  0.417
Li  0.915  0.329  0.583
Li  0.415  0.329  0.581
Li  0.086  0.671  0.919
Cu  0.744  0.000  0.750
Cu  0.256  0.000  0.250
Te  0.000  0.000  0.000
Te  0.658  0.327  0.331
Te  0.000  0.000  0.500
Te  0.342  0.673  0.669
Te  0.669  0.327  0.831
Te  0.331  0.673  0.169


Record 7
This record from the Alexandria database describes a geometry-optimized Ta2HgW structure. The functional is GGA-PBE.

Results
Density of states at the Fermi level = 0.849 states/eV/atom
Energy relative to the elements = 0.171 eV/atom
Volume = 18.28 Å³/atom

a b c (Å): 2.869 2.869 9.398
angles (deg): 90.00 90.00 109.07
Fractional positions:
Hg  0.500  0.500  0.750
Ta  0.000  0.000  0.016
Ta  0.000  0.000  0.484
W  0.500  0.500  0.250


Record 8
This record from the Alexandria database describes a geometry-optimized NaAg2Sb2 structure. The functional is GGA-PBE.

Results
Density of states at the Fermi level = 0.574 states/eV/atom
ΔE to the lowest computed polymorph = 134 meV/atom
Formation energy (no corrections) = 0.02 eV/atom
Volume = 27.37 Å³/atom

a b c (Å): 5.194 5.194 6.263
angles (deg): 65.51 65.51 90.00
Fractional positions:
Sb  0.750  0.250  0.500
Sb  0.250  0.750  0.500
Ag  0.360  0.360  0.280
Ag  0.640  0.640  0.720
Na  0.000  0.000  0.000


Record 9
This record from the Alexandria database describes a geometry-optimized La4CoTc structure. The functional is GGA-PBE.

Results
Density of states at the Fermi level = 1.918 states/eV/atom
Energy relative to the elements = 1.116 eV/atom
Volume = 27.48 Å³/atom

a b c (Å): 6.155 6.155 6.155
angles (deg): 60.00 60.00 60.00
Each line ends with the local moment (μB).
Fractional positions:
La  0.874  0.375  0.375  0.17
La  0.375  0.375  0.874  0.17
La  0.375  0.874  0.375  0.17
La  0.375  0.375  0.375  0.17
Co  0.000  0.000  0.000  -1.80
Tc  0.750  0.750  0.750  -1.20


Record 10
This record from the Alexandria database describes a geometry-optimized InCuTcB2 structure. The functional is GGA-PBE.

Results
Density of states at the Fermi level = 0.519 states/eV/atom
Energy relative to the elements = 2.259 eV/atom
ΔE to the lowest computed polymorph = 1303 meV/atom
Volume = 17.83 Å³/atom

a b c (Å): 4.322 4.772 4.322
angles (deg): 90.00 90.00 90.00
Each line ends with the local moment (μB).
Fractional positions:
B  0.000  0.000  0.500  -0.02
B  0.500  0.000  0.000  -0.05
Tc  0.500  0.500  0.500  3.13
Cu  0.000  0.500  0.000  0.03
In  0.000  0.000  0.000  0.03


Record 11
This record from the Alexandria database describes a geometry-optimized ReIrOs2 structure. The functional is GGA-PBE.

Results
Density of states at the Fermi level = 0.979 states/eV/atom
Energy relative to the elements = 0.019 eV/atom
ΔE to the lowest computed polymorph = 133 meV/atom
Volume = 14.52 Å³/atom

a b c (Å): 3.880 2.735 6.116
angles (deg): 63.48 90.00 90.00
Fractional positions:
Ir  0.500  0.750  0.749
Os  0.000  0.992  0.008
Os  0.500  0.254  0.246
Re  0.000  0.504  0.496


Record 12
This record from the Alexandria database describes a geometry-optimized ReSnS3 structure. The functional is GGA-PBE.

Results
Density of states at the Fermi level = 0.653 states/eV/atom
ΔE to the lowest computed polymorph = 1194 meV/atom
Formation energy (no corrections) = 1.34 eV/atom
Volume = 24.07 Å³/atom

a b c (Å): 4.937 4.937 4.937
angles (deg): 90.00 90.00 90.00
Each line ends with the local moment (μB).
Fractional positions:
Re  0.500  0.500  0.500  4.01
S  0.000  0.500  0.000  -0.06
S  0.000  0.000  0.500  -0.02
S  0.500  0.000  0.000  -0.10
Sn  0.000  0.000  0.000  0.02


Record 13
This record from the Alexandria database describes a geometry-optimized Pu2PaBi3 structure. The functional is GGA-PBE.

Results
Density of states at the Fermi level = 3.177 states/eV/atom
Energy relative to the elements = -0.289 eV/atom
Volume = 28.74 Å³/atom

a b c (Å): 4.145 4.145 10.036
angles (deg): 90.00 90.00 90.00
Each line ends with the local moment (μB).
Fractional positions:
Pu  0.500  0.500  0.834  5.65
Pu  0.500  0.500  0.166  5.65
Pa  0.500  0.500  0.500  1.49
Bi  0.000  0.000  0.000  -0.14
Bi  0.000  0.000  0.665  -0.08
Bi  0.000  0.000  0.335  -0.08


Record 14
This record from the Alexandria database describes a geometry-optimized Pa2NbP structure. The functional is GGA-PBE.

Results
Density of states at the Fermi level = 1.110 states/eV/atom
Energy relative to the elements = 0.046 eV/atom
Volume = 22.78 Å³/atom

a b c (Å): 3.345 3.345 9.602
angles (deg): 79.97 79.97 60.00
Fractional positions:
P  0.500  0.500  0.500
Nb  0.000  0.000  0.000
Pa  0.098  0.098  0.706
Pa  0.902  0.902  0.294


Record 15
This record from the Alexandria database describes a geometry-optimized Na3LiU3Se8 structure. The functional is GGA-PBE.

Results
Density of states at the Fermi level = 0.886 states/eV/atom
Formation energy (no corrections) = -1.18 eV/atom
Volume = 27.23 Å³/atom

a b c (Å): 8.210 8.210 8.451
angles (deg): 119.07 90.00 120.00
Each line ends with the local moment (μB).
Fractional positions:
Na  0.000  0.000  0.000  0.00
Na  0.000  0.500  0.000  0.00
Na  0.500  0.500  0.000  0.00
Li  0.000  0.000  0.500  0.00
U  0.500  0.000  0.500  2.10
U  0.500  0.500  0.500  2.10
U  0.000  0.500  0.500  2.10
Se  0.255  0.510  0.264  -0.05
Se  0.745  0.490  0.736  -0.05
Se  0.756  0.513  0.280  -0.07
Se  0.244  0.487  0.720  -0.07
Se  0.756  0.023  0.280  -0.07
Se  0.244  0.977  0.720  -0.07
Se  0.267  0.023  0.280  -0.07
Se  0.733  0.977  0.720  -0.07


Record 16
This record from the Alexandria database describes a geometry-optimized KCrSb2 structure. The functional is GGA-PBE.

Results
Density of states at the Fermi level = 0.568 states/eV/atom
ΔE to the lowest computed polymorph = 590 meV/atom
Formation energy (no corrections) = 0.51 eV/atom
Volume = 28.82 Å³/atom

a b c (Å): 10.608 10.608 10.608
angles (deg): 19.41 19.41 19.41
Each line ends with the local moment (μB).
Fractional positions:
Cr  0.517  0.517  0.517  3.61
K  0.751  0.751  0.751  0.01
Sb  0.990  0.990  0.990  -0.03
Sb  0.242  0.242  0.242  -0.10


Record 17
This record from the Alexandria database describes a geometry-optimized SiMo2Cl structure. The functional is GGA-PBE.

Results
Density of states at the Fermi level = 0.809 states/eV/atom
ΔE to the lowest computed polymorph = 234 meV/atom
Formation energy (no corrections) = 0.23 eV/atom
Volume = 17.92 Å³/atom

a b c (Å): 2.832 2.832 9.342
angles (deg): 90.00 90.00 106.93
Fractional positions:
Cl  0.500  0.500  0.806
Mo  0.000  0.000  0.010
Mo  0.500  0.500  0.237
Si  0.000  0.000  0.447


Record 18
This record from the Alexandria database describes a geometry-optimized ErMgSn structure. The functional is GGA-PBE.

Results
Density of states at the Fermi level = 0.843 states/eV/atom
Energy relative to the elements = -0.274 eV/atom
Volume = 25.46 Å³/atom

a b c (Å): 3.492 3.492 6.732
angles (deg): 105.03 105.03 90.00
Fractional positions:
Mg  0.939  0.939  0.878
Sn  0.291  0.291  0.581
Er  0.620  0.620  0.240


Record 19
This record from the Alexandria database describes a geometry-optimized BaCd2Br7 structure. The functional is GGA-PBE.

Results
Density of states at the Fermi level = 0.541 states/eV/atom
Formation energy (no corrections) = -0.96 eV/atom
Volume = 33.62 Å³/atom

a b c (Å): 5.216 8.466 8.466
angles (deg): 115.92 90.00 90.00
Fractional positions:
Ba  0.000  0.000  0.000
Cd  0.500  0.699  0.301
Cd  0.500  0.301  0.699
Br  0.000  0.741  0.259
Br  0.000  0.259  0.741
Br  0.500  0.065  0.314
Br  0.500  0.935  0.686
Br  0.500  0.314  0.065
Br  0.500  0.686  0.935
Br  0.500  0.500  0.500


Record 20
This record from the Alexandria database describes a geometry-optimized BeCrRu2 structure. The functional is GGA-PBE.

Results
Density of states at the Fermi level = 0.954 states/eV/atom
Energy relative to the elements = -0.166 eV/atom
Volume = 11.86 Å³/atom

a b c (Å): 2.863 2.863 5.791
angles (deg): 90.00 90.00 90.00
Fractional positions:
Ru  0.000  0.000  0.015
Ru  0.000  0.000  0.485
Be  0.500  0.500  0.250
Cr  0.500  0.500  0.750


| no. | E (eV per atom) |
| --- | --- |
| 1 | -5.512 |
| 2 | -4.391 |
| 3 | -6.937 |
| 4 | -6.615 |
| 5 | -4.558 |
| 6 | -3.404 |
| 7 | -9.069 |
| 8 | -3.035 |
| 9 | -5.081 |
| 10 | -3.852 |
| 11 | -10.923 |
| 12 | -4.424 |
| 13 | -8.589 |
| 14 | -8.571 |
| 15 | -5.687 |
| 16 | -4.229 |
| 17 | -7.004 |
| 18 | -3.661 |
| 19 | -2.511 |
| 20 | -8.141 |